1.
First-principles (PBE) data for BiSbTeAu after structural relaxation, as listed in Alexandria.

Unit cell a=4.2937 b=4.2937 c=8.4128 alpha=75.22 beta=75.22 gamma=60.00
Closest atoms and distances in Å follow each position.
Positions (direct):
Bi  0.9056  0.9056  0.2833  3 Te 3.16, 3 Sb 3.31
Sb  0.1479  0.1479  0.5564  3 Au 2.74
Te  0.3201  0.3201  0.0397  1 Au 2.72
Au  0.4329  0.4329  0.7012  1 Te 2.72, 3 Sb 2.74

Properties
Uncorrected formation energy, eV/f.u.: 0.3
Volume, Å³/cell: 128.36
Electronic total energy, eV per atom: -3.542
Symmetry: R3m (160)

2.
First-principles (PBE) data for BiSbTe2Au after structural relaxation, as listed in Alexandria.

Unit cell a=5.9233 b=5.9233 c=5.8400 alpha=90.00 beta=90.00 gamma=90.00
Closest atoms and distances in Å follow each position.
Positions (direct):
Sb  0.0000  0.0000  0.5000  2 Bi 2.92
Te  0.0000  0.5000  0.0000  2 Bi 2.96
Te  0.5000  0.0000  0.0000  2 Bi 2.96
Au  0.5000  0.5000  0.5000  8 Te 4.16, 4 Sb 4.19
Bi  0.0000  0.0000  0.0000  2 Sb 2.92, 4 Te 2.96

Properties
Uncorrected formation energy, eV/f.u.: 5.0
Volume, Å³/cell: 204.90
Electronic total energy, eV per atom: -2.523
Distance to the lowest polymorph of the same formula, meV/atom: 565.2
Symmetry: P4/mmm (123)

3.
First-principles (PBE) data for ThBiSbAu after structural relaxation, as listed in Alexandria.

Unit cell a=4.3343 b=4.8164 c=7.2091 alpha=109.51 beta=107.49 gamma=90.00
Closest atoms and distances in Å follow each position.
Positions (direct):
Th  0.3647  0.3647  0.7295  2 Au 2.98, 1 Sb 3.10, 4 Bi 3.31
Bi  0.9162  0.9162  0.8325  2 Au 3.24, 4 Th 3.31
Sb  0.6056  0.6056  0.2112  2 Au 2.69
Au  0.2288  0.7288  0.4575  2 Sb 2.69, 2 Th 2.98

Properties
Uncorrected formation energy, eV/f.u.: -0.4
Volume, Å³/cell: 134.44
Electronic total energy, eV per atom: -4.785
Distance to the lowest polymorph of the same formula, meV/atom: 252.9
Symmetry: Imm2 (44)

4.
First-principles (PBE) data for ThBiSbAu after structural relaxation, as listed in Alexandria.

Unit cell a=5.3517 b=5.3517 c=5.3517 alpha=60.00 beta=60.00 gamma=60.00
Closest atoms and distances in Å follow each position.
Positions (direct):
Sb  0.7500  0.7500  0.7500  4 Th 3.28, 4 Bi 3.28
Au  0.2500  0.2500  0.2500  4 Th 3.28, 4 Bi 3.28
Bi  0.0000  0.0000  0.0000  4 Au 3.28, 4 Sb 3.28
Th  0.5000  0.5000  0.5000  4 Sb 3.28, 4 Au 3.28

Properties
Uncorrected formation energy, eV/f.u.: -1.5
Volume, Å³/cell: 108.38
Electronic total energy, eV per atom: -5.038
Distance to the lowest polymorph of the same formula, meV/atom: 0.0
Symmetry: F-43m (216)

Q: Which formula does entry 3 have?
A: ThBiSbAu

Q: Which of these has the lowest volume?
A: number 4

Q: The highest uncorrected formation energy belongs to which entry?
A: BiSbTe2Au